Entry 1:
Density functional theory data (PBE-GGA) for an optimized crystal structure of SrZr2Sb.

a b c (Å): 5.2797 5.2797 5.2797
angles (deg): 60.00 60.00 60.00
Closest atoms and distances in Å follow each position.
Atoms (fractional coordinates):
Sb 0.5000 0.5000 0.5000  4 Sr 3.23, 4 Zr 3.23
Sr 0.7500 0.7500 0.7500  4 Zr 3.23, 4 Sb 3.23
Zr 0.2500 0.2500 0.2500  4 Zr 3.23, 4 Sb 3.23
Zr 0.0000 0.0000 0.0000  4 Sr 3.23, 4 Zr 3.23

Calculated values
**Size of the total moment**: 1.88 μB per cell
**SG**: No. 216
**Raw formation energy**: 0.115 eV/atom
**Electronic total energy**: -22.441 eV/cell

Entry 2:
Density functional theory data (PBE-GGA) for an optimized crystal structure of NaLiCu3.

a b c (Å): 4.3841 4.3841 4.3841
angles (deg): 90.00 90.00 90.00
Closest atoms and distances in Å follow each position.
Atoms (fractional coordinates):
Cu 0.0000 0.5000 0.0000  2 Li 2.19
Cu 0.0000 0.0000 0.5000  2 Li 2.19
Cu 0.5000 0.0000 0.0000  2 Li 2.19
Li 0.0000 0.0000 0.0000  6 Cu 2.19
Na 0.5000 0.5000 0.5000  12 Cu 3.10

Calculated values
**Size of the total moment**: 0.00 μB per cell
**Energy above the lowest structure with this stoichiometry**: 0 meV per atom
**SG**: No. 221
**Electronic total energy**: -12.865 eV/cell
**Energy of formation**: 0.531 eV/atom

Entry 3:
Density functional theory data (PBE-GGA) for an optimized crystal structure of CoPtCl2.

a b c (Å): 4.5619 4.5619 4.5619
angles (deg): 60.00 60.00 60.00
Closest atoms and distances in Å follow each position.
Atoms (fractional coordinates):
Cl 0.7500 0.7500 0.7500  4 Co 2.79, 4 Cl 2.79
Cl 0.0000 0.0000 0.0000  4 Pt 2.79, 4 Cl 2.79
Co 0.5000 0.5000 0.5000  4 Cl 2.79, 4 Pt 2.79
Pt 0.2500 0.2500 0.2500  4 Cl 2.79, 4 Co 2.79

Calculated values
**Size of the total moment**: 3.10 μB per cell
**Energy above the lowest structure with this stoichiometry**: 836 meV per atom
**SG**: No. 216
**Raw formation energy**: 0.744 eV/atom
**Electronic total energy**: -13.863 eV/cell

Entry 4:
Density functional theory data (PBE-GGA) for an optimized crystal structure of AcCd2Hg.

a b c (Å): 5.3923 5.3923 5.3923
angles (deg): 60.00 60.00 60.00
Closest atoms and distances in Å follow each position.
Atoms (fractional coordinates):
Cd 0.2500 0.2500 0.2500  4 Hg 3.30, 4 Ac 3.30
Cd 0.7500 0.7500 0.7500  4 Hg 3.30, 4 Ac 3.30
Ac 0.0000 0.0000 0.0000  8 Cd 3.30
Hg 0.5000 0.5000 0.5000  8 Cd 3.30

Calculated values
**Size of the total moment**: 0.00 μB per cell
**Energy above the lowest structure with this stoichiometry**: 89 meV per atom
**SG**: No. 225
**Electronic total energy**: -7.231 eV/cell
**Energy of formation**: -0.248 eV/atom

Entry 5:
Density functional theory data (PBE-GGA) for an optimized crystal structure of Ho8Tm2Cd.

a b c (Å): 5.5059 6.3329 9.9496
angles (deg): 85.30 106.06 90.00
Closest atoms and distances in Å follow each position.
Atoms (fractional coordinates):
Ho 0.8453 0.8020 0.6906  5 Ho 3.32-3.52, 4 Tm 3.53-3.63
Ho 0.0449 0.7362 0.0898  2 Cd 3.30, 4 Ho 3.50-3.62
Ho 0.4208 0.5973 0.8416  1 Cd 3.07, 3 Ho 3.17-3.32, 1 Tm 3.40
Ho 0.3391 0.1225 0.6782  1 Cd 3.11, 2 Tm 3.38, 2 Ho 3.42
Ho 0.5792 0.4027 0.1584  1 Cd 3.07, 3 Ho 3.17-3.32, 1 Tm 3.40
Ho 0.9551 0.2638 0.9102  2 Cd 3.30, 4 Ho 3.50-3.62
Ho 0.1547 0.1980 0.3094  5 Ho 3.32-3.52, 4 Tm 3.53-3.63
Ho 0.6609 0.8775 0.3218  1 Cd 3.11, 2 Tm 3.38, 2 Ho 3.42
Tm 0.2424 0.6660 0.4848  10 Ho 3.38-3.77, 2 Tm 3.46
Tm 0.7576 0.3340 0.5152  10 Ho 3.38-3.77, 2 Tm 3.46
Cd 0.5000 0.0000 0.0000  8 Ho 3.07-3.30

Calculated values
**Size of the total moment**: 0.00 μB per cell
**Energy above the lowest structure with this stoichiometry**: 0 meV per atom
**SG**: No. 12
**Electronic total energy**: -46.670 eV/cell
**Energy of formation**: -0.017 eV/atom

Entry 6:
Density functional theory data (PBE-GGA) for an optimized crystal structure of LiNi2Sb.

a b c (Å): 4.1304 2.8814 4.8584
angles (deg): 84.13 90.00 90.00
Closest atoms and distances in Å follow each position.
Atoms (fractional coordinates):
Ni 0.0000 0.0188 0.9880  2 Li 2.53, 1 Ni 2.55, 2 Sb 2.55
Ni 0.0000 0.4812 0.5120  2 Li 2.53, 1 Ni 2.55, 2 Sb 2.55
Sb 0.5000 0.2500 0.2500  4 Ni 2.55, 2 Li 2.69
Li 0.5000 0.7500 0.7500  4 Ni 2.53, 2 Sb 2.69

Calculated values
**Size of the total moment**: 0.00 μB per cell
**SG**: No. 10
**Raw formation energy**: 0.011 eV/atom
**Electronic total energy**: -17.557 eV/cell